CaMnCdSi2 | PBEsol | relaxed

Lattice parameters (Å, degrees): 5.1459 5.1459 5.3395 90.00 90.00 90.00
Element x y z (fractional)
Si1 0.5000 0.0000 0.0000
Mn1 0.5000 0.5000 0.5000
Ca1 0.0000 0.0000 0.0000
Cd1 0.0000 0.0000 0.5000
Si2 0.0000 0.5000 0.0000

Spin magnetization, μB per atom: 0.825
Volume, Å³/cell: 141.4
Formation energy from raw total energies, eV/atom: 1.558
ρ, g/cm3: 3.10
DOS at the Fermi energy, states/eV per cell: 3.55